# TaMo2As | Alexandria via LeMat-Bulk | GGA-PBE | relaxed
data_TaMo2As
_chemical_formula_sum 'Ta1 Mo2 As1'
_cell_length_a 3.0323
_cell_length_b 4.1924
_cell_length_c 5.1650
_cell_angle_alpha 90.00
_cell_angle_beta 90.00
_cell_angle_gamma 90.00
_space_group_name_H-M_alt 'P m m 2'
_space_group_IT_number 25
_space_group_name_Hall 'P 2 -2'
loop_
_atom_site_label
_atom_site_fract_x
_atom_site_fract_y
_atom_site_fract_z
Ta1 0.0000 0.0000 0.0000
Mo1 0.0000 0.0000 0.5053
Mo2 0.5000 0.5000 0.7472
As1 0.5000 0.5000 0.2539
# * mass density: 11.32 g/cm3
# * electronic total energy: -9.498 eV/atom
# * calculated volume: 65.7 Å³/f.u.